Entry 1:
Computed, not measured: a geometry-optimized CaSc2Pd structure at the PBE-GGA level of DFT.

Calculated values
energy above the most stable polymorph in this dataset = 0.18 eV per formula unit
total DFT energy (no corrections) = -5.080 eV/atom
spin magnetization = 0.0 μB/f.u.
DFT formation energy = -0.1157 eV/atom

Cell: 7.064 7.064 7.064 Å, 90.00 90.00 90.00°
Space group Fm-3m (No. 225)
One atom of each set of equivalent atoms:
1 Ca 0.000 0.000 0.000 [4 per cell]
2 Sc 0.250 0.250 0.250 [8 per cell]
3 Pd 0.000 0.000 0.500 [4 per cell]



Entry 2:
Computed, not measured: a geometry-optimized BaGeF structure at the PBE-GGA level of DFT.

Calculated values
energy relative to the elements, uncorrected = -1.59 eV/atom
energy above the most stable polymorph in this dataset = 1.67 eV per formula unit
total DFT energy (no corrections) = -4.396 eV/atom
spin magnetization = 0.0 μB/f.u.

Cell: 3.686 4.656 19.472 Å, 90.00 90.00 90.00°
Space group Immm (No. 71)
One atom of each set of equivalent atoms:
1 Ba 0.000 0.000 0.163 [4 per cell]
2 Ge 0.000 0.250 0.000 [4 per cell]
3 F 0.000 0.000 0.300 [4 per cell]



Entry 3:
Computed, not measured: a geometry-optimized LiCrFe2 structure at the PBE-GGA level of DFT.

Calculated values
energy above the most stable polymorph in this dataset = 1.71 eV per formula unit
total DFT energy (no corrections) = -6.496 eV/atom
spin magnetization = 1.4 μB/f.u.
DFT formation energy = 0.6193 eV/atom

Cell: 6.346 6.346 4.973 Å, 90.00 90.00 90.00°
Space group I-42d (No. 122)
One atom of each set of equivalent atoms:
1 Li 0.000 0.000 0.000 [4 per cell]
2 Cr 0.000 0.000 0.500 [4 per cell]
3 Fe 0.225 0.750 0.625 [8 per cell]



Entry 4:
Computed, not measured: a geometry-optimized Pa6MnBi2 structure at the PBE-GGA level of DFT.

Calculated values
total DFT energy (no corrections) = -8.256 eV/atom
spin magnetization = 0.0 μB/f.u.
DFT formation energy = -0.0440 eV/atom

Cell: 8.4925 8.4925 3.6004 Å, 90.00 90.00 120.00°
Space group P-62m (No. 189)
One atom of each set of equivalent atoms:
1 Pa 0.0000 0.2401 0.0000 [3 per cell]
2 Pa 0.0000 0.6116 0.5000 [3 per cell]
3 Mn 0.0000 0.0000 0.5000 [1 per cell]
4 Bi 0.3333 0.6667 0.0000 [2 per cell]